Record 1
An optimized crystal structure of Y2SiS2, computed with PBE.

a b c (Å): 5.285 5.285 8.231
angles (deg): 90.00 90.00 90.00
Space group I4/mmm (No. 139)
Inequivalent atoms, fractional coordinates:
Y1 0.000 0.500 0.250 [4 per cell]
Si1 0.000 0.000 0.000 [2 per cell]
S1 0.000 0.000 0.317 [4 per cell]

Summary:
The calculation puts the formation energy from raw total energies at -115 kJ per mole of atoms. The mass density is 3.90 g/cm³. For the energy above the most stable polymorph in this dataset, the calculation gives 0 meV per atom.

Record 2
An optimized crystal structure of SmPuIrBr, computed with PBE.

a b c (Å): 4.0347 4.0347 23.5536
angles (deg): 90.00 90.00 120.00
Space group R3m (No. 160, hexagonal axes)
Inequivalent atoms, fractional coordinates:
Sm1 0.0000 0.0000 0.0000 [3 per cell]
Pu1 0.0000 0.0000 0.7971 [3 per cell]
Ir1 0.0000 0.0000 0.4026 [3 per cell]
Br1 0.0000 0.0000 0.2345 [3 per cell]

Summary:
The calculation puts the formation energy from raw total energies at -85 kJ per mole of atoms. The mass density is 10.00 g/cm³.

Record 3
An optimized crystal structure of V2HOsRu, computed with PBE.

a b c (Å): 3.917 3.917 3.736
angles (deg): 90.00 90.00 90.00
Space group P4/mmm (No. 123)
Inequivalent atoms, fractional coordinates:
V1 0.000 0.500 0.000 [2 per cell]
H1 0.000 0.000 0.000 [1 per cell]
Os1 0.000 0.000 0.500 [1 per cell]
Ru1 0.500 0.500 0.500 [1 per cell]

Summary:
The mass density is 11.42 g/cm³. For the energy above the most stable polymorph in this dataset, the calculation gives 33 meV per atom.

| no. | DOS at the Fermi energy (states/eV per atom) |
| --- | --- |
| 1 | 0.198 |
| 2 | 2.559 |
| 3 | 1.041 |